# 1
# Ni3Te2Pd

Crystalline Ni3Te2Pd at its relaxed geometry (PBE-GGA, Alexandria).

raw formation energy = -0.110 eV/atom
VASP energy = -117.93 eV for the cell shown

Cell lengths 15.2431, 3.8019, 9.1564 Å; angles 90.00, 126.20, 90.00 degrees
With the nearest neighbours (Å) after each atom.
Space group C2/m (No. 12)
Asymmetric unit:
Ni: 0.0310 0.0000 0.3999 [4 per cell]  7 Ni 2.51-2.72, 3 Te 2.59-2.60, 1 Pd 2.71
Ni: 0.0954 0.5000 0.6313 [4 per cell]  6 Ni 2.44-2.60, 3 Te 2.50-2.56
Ni: 0.1752 0.5000 0.4534 [4 per cell]  5 Ni 2.54-2.72, 4 Te 2.58-2.72, 2 Pd 2.75
Te: 0.0378 0.5000 0.8360 [4 per cell]  4 Ni 2.50-2.72, 2 Pd 2.76
Te: 0.2268 0.0000 0.6996 [4 per cell]  6 Ni 2.56-2.69
Pd: 0.1014 0.0000 0.1885 [4 per cell]  4 Ni 2.71-3.03, 4 Te 2.76-2.89, 1 Pd 2.98

=====

# 2
# NiTe2Pd

Crystalline NiTe2Pd at its relaxed geometry (PBE-GGA, Alexandria).

raw formation energy = 0.098 eV/atom
VASP energy = -67.47 eV for the cell shown

Cell lengths 6.7758, 6.7758, 6.7758 Å; angles 90.00, 90.00, 90.00 degrees
With the nearest neighbours (Å) after each atom.
Space group Fm-3m (No. 225)
Asymmetric unit:
Ni: 0.0000 0.0000 0.0000 [4 per cell]  8 Te 2.93
Te: 0.2500 0.2500 0.2500 [8 per cell]  4 Ni 2.93, 4 Pd 2.93
Pd: 0.0000 0.0000 0.5000 [4 per cell]  8 Te 2.93

=====

# 3
# NiTe3Pd

Crystalline NiTe3Pd at its relaxed geometry (PBE-GGA, Alexandria).

raw formation energy = -0.205 eV/atom
VASP energy = -21.43 eV for the cell shown

Cell lengths 5.5463, 3.7853, 6.1596 Å; angles 90.00, 113.58, 90.00 degrees
With the nearest neighbours (Å) after each atom.
Space group Pm (No. 6)
Asymmetric unit:
Ni: 0.0000 0.0000 0.0000 [1 per cell]  5 Te 2.52-2.57
Te: 0.1946 0.5000 0.8386 [1 per cell]  2 Ni 2.57, 1 Pd 2.65
Te: 0.5661 0.0000 0.6444 [1 per cell]  1 Ni 2.52, 2 Pd 2.69
Te: 0.9034 0.5000 0.2334 [1 per cell]  2 Ni 2.56, 2 Pd 2.80-2.81
Pd: 0.4359 0.5000 0.3073 [1 per cell]  5 Te 2.65-2.81

=====

# 4
# NiTe6Pd3

Crystalline NiTe6Pd3 at its relaxed geometry (PBE-GGA, Alexandria).

raw formation energy = -0.241 eV/atom
VASP energy = -255.72 eV for the cell shown

Cell lengths 11.2978, 11.2978, 13.8640 Å; angles 90.00, 90.00, 120.00 degrees
With the nearest neighbours (Å) after each atom.
Space group R-3 (No. 148, hexagonal axes)
Asymmetric unit:
Ni: 0.0000 0.0000 0.0000 [3 per cell]  6 Te 2.59
Ni: 0.0000 0.0000 0.5000 [3 per cell]  6 Te 2.62
Te: 0.0280 0.2119 0.4038 [18 per cell]  1 Ni 2.62, 3 Pd 2.73-2.91
Te: 0.0338 0.1901 0.8796 [18 per cell]  1 Ni 2.59, 3 Pd 2.69-2.80
Pd: 0.0486 0.2606 0.2066 [18 per cell]  6 Te 2.69-2.91

=====

# 5
# NiTe2Pd

Crystalline NiTe2Pd at its relaxed geometry (PBE-GGA, Alexandria).

raw formation energy = -0.032 eV/atom
VASP energy = -52.16 eV for the cell shown

Cell lengths 3.7041, 3.7041, 23.9404 Å; angles 90.00, 90.00, 120.00 degrees
With the nearest neighbours (Å) after each atom.
Space group R-3m (No. 166, hexagonal axes)
Asymmetric unit:
Ni: 0.0000 0.0000 0.0000 [3 per cell]  6 Te 2.57
Te: 0.0000 0.0000 0.3927 [6 per cell]  3 Ni 2.57, 1 Pd 2.57
Pd: 0.0000 0.0000 0.5000 [3 per cell]  2 Te 2.57

=====

# 6
# Ni2TePd2

Crystalline Ni2TePd2 at its relaxed geometry (PBE-GGA, Alexandria).

raw formation energy = 0.148 eV/atom
VASP energy = -48.70 eV for the cell shown

Cell lengths 7.1576, 7.1576, 3.0768 Å; angles 90.00, 90.00, 90.00 degrees
With the nearest neighbours (Å) after each atom.
Space group P4/mbm (No. 127)
Asymmetric unit:
Ni: 0.1505 0.3495 0.0000 [4 per cell]  6 Pd 2.60
Te: 0.0000 0.0000 0.5000 [2 per cell]  4 Pd 2.76, 2 Te 3.08
Pd: 0.1420 0.6420 0.5000 [4 per cell]  6 Ni 2.60, 2 Te 2.76, 1 Pd 2.87

=====

# 7
# NiTe2Pd

Crystalline NiTe2Pd at its relaxed geometry (PBE-GGA, Alexandria).

raw formation energy = -0.124 eV/atom
VASP energy = -71.01 eV for the cell shown

Cell lengths 5.9314, 5.9314, 11.5246 Å; angles 90.00, 90.00, 90.00 degrees
With the nearest neighbours (Å) after each atom.
Space group I-42d (No. 122)
Asymmetric unit:
Ni: 0.0000 0.0000 0.0000 [4 per cell]  4 Te 2.46
Te: 0.2251 0.2500 0.1250 [8 per cell]  2 Ni 2.46, 2 Pd 2.63
Pd: 0.0000 0.0000 0.5000 [4 per cell]  4 Te 2.63

=====

# 8
# Zr2NiTePd

Crystalline Zr2NiTePd at its relaxed geometry (PBE-GGA, Alexandria).

raw formation energy = -0.015 eV/atom
VASP energy = -31.29 eV for the cell shown

Cell lengths 4.8100, 4.8100, 4.6944 Å; angles 90.00, 90.00, 90.00 degrees
With the nearest neighbours (Å) after each atom.
Space group P4/mmm (No. 123)
Asymmetric unit:
Zr: 0.0000 0.5000 0.0000 [2 per cell]  2 Ni 2.41
Ni: 0.0000 0.0000 0.0000 [1 per cell]  2 Pd 2.35, 4 Zr 2.41
Te: 0.5000 0.5000 0.5000 [1 per cell]  8 Zr 3.36, 4 Pd 3.40
Pd: 0.0000 0.0000 0.5000 [1 per cell]  2 Ni 2.35

=====

# 9
# Th4Ni2Pd

Crystalline Th4Ni2Pd at its relaxed geometry (PBE-GGA, Alexandria).

VASP energy = -98.37 eV for the cell shown
ΔE_f = -0.3931 eV/atom

Cell lengths 7.4024, 7.4792, 7.8727 Å; angles 108.70, 108.31, 109.05 degrees
With the nearest neighbours (Å) after each atom.
Space group P1 (No. 1)
Asymmetric unit:
Th: 0.0000 0.0000 0.0000 [1 per cell]  2 Ni 2.70-2.83, 1 Pd 2.93
Th: 0.0009 0.5007 0.0012 [1 per cell]  2 Ni 2.70-2.83, 1 Pd 2.94
Th: 0.0792 0.2015 0.6056 [1 per cell]  2 Ni 2.70-2.81, 1 Pd 2.89
Th: 0.3615 0.6287 0.4985 [1 per cell]  2 Ni 2.70-2.85, 1 Pd 2.94
Th: 0.4708 0.1076 0.8964 [1 per cell]  2 Ni 2.70-2.81, 1 Pd 2.89
Th: 0.4742 0.0962 0.3945 [1 per cell]  2 Ni 2.70-2.81, 1 Pd 2.89
Th: 0.5741 0.7108 0.1036 [1 per cell]  2 Ni 2.70-2.81, 1 Pd 2.89
Th: 0.8636 0.6311 0.5024 [1 per cell]  2 Ni 2.70-2.84, 1 Pd 2.94
Ni: 0.0915 0.8444 0.3582 [1 per cell]  4 Th 2.70-2.83
Ni: 0.2167 0.7284 0.8591 [1 per cell]  4 Th 2.70-2.84
Ni: 0.3575 0.3689 0.1411 [1 per cell]  4 Th 2.70-2.85
Ni: 0.7332 0.9861 0.6423 [1 per cell]  4 Th 2.70-2.83
Pd: 0.6008 0.4818 0.7468 [1 per cell]  4 Th 2.89-2.94
Pd: 0.8536 0.2356 0.2535 [1 per cell]  4 Th 2.89-2.94

=====

# 10
# ThNi4Pd

Crystalline ThNi4Pd at its relaxed geometry (PBE-GGA, Alexandria).

VASP energy = -153.13 eV for the cell shown
ΔE_f = -0.4240 eV/atom

Cell lengths 7.0443, 7.0443, 7.0443 Å; angles 90.00, 90.00, 90.00 degrees
With the nearest neighbours (Å) after each atom.
Space group F-43m (No. 216)
Asymmetric unit:
Th: 0.0000 0.0000 0.0000 [4 per cell]  12 Ni 2.92, 4 Pd 3.05
Ni: 0.1243 0.1243 0.6243 [16 per cell]  6 Ni 2.48-2.50
Pd: 0.2500 0.2500 0.2500 [4 per cell]  12 Ni 2.92, 4 Th 3.05

=====

# 11
# Th6Ni2Pd

Crystalline Th6Ni2Pd at its relaxed geometry (PBE-GGA, Alexandria).

VASP energy = -254.30 eV for the cell shown
ΔE_f = -0.2556 eV/atom

Cell lengths 8.8552, 9.5891, 10.9137 Å; angles 90.00, 90.00, 90.00 degrees
With the nearest neighbours (Å) after each atom.
Space group Immm (No. 71)
Asymmetric unit:
Th: 0.0000 0.1891 0.2281 [8 per cell]  1 Ni 2.98, 1 Pd 3.08
Th: 0.2003 0.3094 0.5000 [8 per cell]  3 Ni 2.89-3.11, 1 Pd 3.22
Th: 0.2061 0.5000 0.1667 [8 per cell]  3 Ni 2.91-2.92, 1 Pd 3.18
Ni: 0.0000 0.3596 0.0000 [4 per cell]  1 Ni 2.69, 6 Th 2.91-2.98
Ni: 0.0000 0.5000 0.3750 [4 per cell]  1 Ni 2.73, 6 Th 2.89-2.92
Pd: 0.0000 0.0000 0.0000 [2 per cell]  8 Th 3.08-3.22, 2 Ni 3.45
Pd: 0.0000 0.0000 0.5000 [2 per cell]  12 Th 3.18-3.48

=====

# 12
# Th3NiPd

Crystalline Th3NiPd at its relaxed geometry (PBE-GGA, Alexandria).

VASP energy = -135.39 eV for the cell shown
ΔE_f = -0.1230 eV/atom

Cell lengths 8.1683, 13.4803, 4.7974 Å; angles 90.00, 90.00, 90.00 degrees
With the nearest neighbours (Å) after each atom.
Space group Cmmm (No. 65)
Asymmetric unit:
Th: 0.0000 0.1545 0.0000 [4 per cell]  2 Ni 2.56
Th: 0.1829 0.5000 0.5000 [4 per cell]  2 Ni 2.85, 1 Th 2.99
Th: 0.2500 0.2500 0.5000 [4 per cell]  2 Ni 2.99
Ni: 0.0000 0.0882 0.5000 [4 per cell]  1 Ni 2.38, 2 Th 2.56
Pd: 0.0000 0.3751 0.0000 [4 per cell]  5 Th 2.97-3.29